SmZn3Rh3 after structural relaxation. Source: Alexandria, functional PBE-GGA.

Output
**Raw total energy**: -4.20 eV/atom

abc: 6.681 6.681 6.681
angles: 90.00 90.00 90.00
Fractional coordinates of all 14 atoms:
Rh 0.500 0.750 0.000
Rh 0.500 0.250 0.000
Rh 0.250 0.000 0.500
Rh 0.750 0.000 0.500
Rh 0.000 0.500 0.250
Rh 0.000 0.500 0.750
Sm 0.000 0.000 0.000
Sm 0.500 0.500 0.500
Zn 0.250 0.500 0.000
Zn 0.750 0.500 0.000
Zn 0.000 0.750 0.500
Zn 0.500 0.000 0.250
Zn 0.500 0.000 0.750
Zn 0.000 0.250 0.500



Sm3Zn3Rh after structural relaxation. Source: Alexandria, functional PBE-GGA.

Output
**Raw total energy**: -4.06 eV/atom

abc: 4.474 3.797 9.991
angles: 100.95 102.94 90.00
Fractional coordinates of all 7 atoms:
Sm 0.691 0.191 0.383
Sm 0.992 0.992 0.984
Sm 0.320 0.820 0.641
Zn 0.139 0.639 0.278
Zn 0.566 0.566 0.132
Zn 0.860 0.360 0.721
Rh 0.431 0.431 0.862



Sm2ZnRh after structural relaxation. Source: Alexandria, functional PBE-GGA.

Output
**Raw total energy**: -5.04 eV/atom

abc: 3.586 3.586 7.085
angles: 90.00 90.00 90.00
Fractional coordinates of all 4 atoms:
Zn 0.500 0.500 0.500
Rh 0.500 0.500 0.000
Sm 0.000 0.000 0.237
Sm 0.000 0.000 0.763



SmZn4Rh2 after structural relaxation. Source: Alexandria, functional PBE-GGA.

Output
**Raw total energy**: -3.98 eV/atom

abc: 4.092 7.646 7.646
angles: 90.00 90.00 90.00
Fractional coordinates of all 14 atoms:
Zn 0.000 0.093 0.350
Zn 0.000 0.907 0.650
Zn 0.000 0.350 0.093
Zn 0.500 0.407 0.850
Zn 0.500 0.593 0.150
Zn 0.500 0.850 0.407
Zn 0.500 0.150 0.593
Zn 0.000 0.650 0.907
Rh 0.000 0.215 0.785
Rh 0.500 0.715 0.715
Rh 0.000 0.785 0.215
Rh 0.500 0.285 0.285
Sm 0.000 0.500 0.500
Sm 0.500 0.000 0.000



Sm2ZnRh after structural relaxation. Source: Alexandria, functional PBE-GGA.

Output
**Raw total energy**: -5.08 eV/atom

abc: 4.494 5.792 7.798
angles: 111.19 90.00 90.00
Fractional coordinates of all 8 atoms:
Sm 0.750 0.212 0.935
Sm 0.250 0.788 0.065
Sm 0.750 0.230 0.423
Sm 0.250 0.770 0.577
Rh 0.750 0.644 0.786
Rh 0.250 0.356 0.214
Zn 0.750 0.654 0.287
Zn 0.250 0.346 0.713



Sm5Zn4Rh after structural relaxation. Source: Alexandria, functional PBE-GGA.

Output
**Raw total energy**: -4.01 eV/atom

abc: 3.620 3.620 18.043
angles: 90.00 90.00 90.00
Fractional coordinates of all 10 atoms:
Zn 0.000 0.000 0.398
Zn 0.000 0.000 0.198
Zn 0.000 0.000 0.802
Zn 0.000 0.000 0.602
Sm 0.500 0.500 0.297
Sm 0.500 0.500 0.909
Sm 0.500 0.500 0.500
Sm 0.500 0.500 0.703
Sm 0.500 0.500 0.091
Rh 0.000 0.000 0.000



So what do the calculations give for formation energy from the elements? Going down the list: 0.169; -0.444; -0.525; -0.473; -0.564; -0.403 eV per atom.
So what do the calculations give for magnetization? Going down the list: 0.00; 0.00; 0.00; 0.00; 0.00; 0.01 Bohr magnetons per cell.